A plane-wave DFT calculation with PBE-GGA was carried out for a geometry-optimized Dy2MnSi3Ni12 structure.

a b c (Å): 6.0322 6.0322 24.6735
angles (deg): 90.00 90.00 120.00
Space group R-3m (No. 166, hexagonal axes)
Asymmetric unit:
Dy 0.0000 0.0000 0.1495 (multiplicity 6)
Mn 0.0000 0.0000 0.5000 (multiplicity 3)
Si 0.0000 0.5000 0.0000 (multiplicity 9)
Ni 0.0465 0.5232 0.0957 (multiplicity 18)
Ni 0.0649 0.5325 0.6220 (multiplicity 18)

Values from the calculation:
Formation energy without anion corrections (eV per atom): -0.07
Spin magnetization (μB/f.u.): 4.10